{"formula": "Zn2Pt2Rh15", "functional": "GGA-PBE", "state": "relaxed", "sg": "No. 166", "dft_energy_ev_per_atom": -6.28, "formation_energy_ev_per_atom": 0.295, "lattice_angstrom": [[1.4980, 6.5424, 0.7752], [-5.1784, 2.7345, -3.3696], [-4.0613, 1.4637, 5.1973]], "species": ["Zn", "Zn", "Pt", "Pt", "Rh", "Rh", "Rh", "Rh", "Rh", "Rh", "Rh", "Rh", "Rh", "Rh", "Rh", "Rh", "Rh", "Rh", "Rh"], "frac_coords": [[0.9066, 0.9066, 0.9066], [0.0934, 0.0934, 0.0934], [0.7158, 0.7158, 0.7158], [0.2842, 0.2842, 0.2842], [0.5000, 0.0000, 0.0000], [0.0000, 0.0000, 0.5000], [0.0000, 0.5000, 0.0000], [0.0000, 0.3102, 0.6898], [0.3102, 0.6898, 0.0000], [0.6898, 0.0000, 0.3102], [0.6898, 0.3102, 0.0000], [0.3102, 0.0000, 0.6898], [0.0000, 0.6898, 0.3102], [0.8416, 0.3548, 0.3548], [0.3548, 0.3548, 0.8416], [0.3548, 0.8416, 0.3548], [0.1584, 0.6452, 0.6452], [0.6452, 0.6452, 0.1584], [0.6452, 0.1584, 0.6452]]}